(1)
DFT (PBE-GGA) results for a geometry-optimized SiIr7 structure. Values from VASP.

```
&SYSTEM
  ibrav = 0, nat = 8, ntyp = 2
/
ATOMIC_SPECIES
Si 28.09 Si.upf
Ir 192.22 Ir.upf
CELL_PARAMETERS angstrom
4.013 -3.206 1.816
-1.004 -3.683 3.887
0.003 -5.311 -1.213
ATOMIC_POSITIONS crystal
Si 0.000 0.000 0.000
Ir 0.500 0.500 0.000
Ir 0.500 0.000 0.500
Ir 0.500 0.000 0.000
Ir 0.000 0.000 0.500
Ir 0.000 0.500 0.000
Ir 0.000 0.500 0.500
Ir 0.500 0.500 0.500
```

Results
Total energy in eV per atom: -8.544
Magnetization in μB/atom: 0.00
Space-group type: Fm-3m
Theoretical density in g/cm³: 19.95


(2)
DFT (PBE-GGA) results for a geometry-optimized SiIr3 structure. Values from VASP.

```
&SYSTEM
  ibrav = 0, nat = 8, ntyp = 2
/
ATOMIC_SPECIES
Si 28.09 Si.upf
Ir 192.22 Ir.upf
CELL_PARAMETERS angstrom
-1.924 1.924 7.597
1.924 -1.924 7.597
1.924 1.924 -7.597
ATOMIC_POSITIONS crystal
Si 0.382 0.382 0.000
Si 0.618 0.618 0.000
Ir 0.500 0.000 0.500
Ir 0.000 0.500 0.500
Ir 0.750 0.250 0.500
Ir 0.250 0.750 0.500
Ir 0.128 0.128 0.000
Ir 0.872 0.872 0.000
```

Results
Total energy in eV per atom: -8.174
Magnetization in μB/atom: 0.00
Space-group type: I4/mmm
Theoretical density in g/cm³: 17.85


(3)
DFT (PBE-GGA) results for a geometry-optimized SiIr3 structure. Values from VASP.

```
&SYSTEM
  ibrav = 0, nat = 8, ntyp = 2
/
ATOMIC_SPECIES
Si 28.09 Si.upf
Ir 192.22 Ir.upf
CELL_PARAMETERS angstrom
-1.571 -4.797 2.158
3.796 0.359 -3.950
3.116 3.593 2.742
ATOMIC_POSITIONS crystal
Si 0.000 0.250 0.250
Si 0.000 0.750 0.750
Ir 0.500 0.750 0.250
Ir 0.500 0.250 0.750
Ir 0.000 0.816 0.184
Ir 0.000 0.184 0.816
Ir 0.632 0.316 0.316
Ir 0.368 0.684 0.684
```

Results
Total energy in eV per atom: -8.377
Magnetization in μB/atom: 0.00
Space-group type: I4/mcm
Theoretical density in g/cm³: 17.91